# SrNbMo | the Open Quantum Materials Database | GGA-PBE | optimized geometry
# - Polymorph energy (0 for the lowest one): 1278 meV/atom
data_SrNbMo
_symmetry_space_group_name_H-M 'P 1'
_symmetry_Int_Tables_number 1
_symmetry_space_group_name_Hall 'P 1'
_cell_length_a 4.9322
_cell_length_b 4.9322
_cell_length_c 4.9322
_cell_angle_alpha 60.00
_cell_angle_beta 60.00
_cell_angle_gamma 60.00
loop_
_atom_site_label
_atom_site_fract_x
_atom_site_fract_y
_atom_site_fract_z
Mo1 0.2500 0.2500 0.2500
Nb1 0.7500 0.7500 0.7500
Sr1 0.0000 0.0000 0.0000